Entry from Alexandria: an optimized crystal structure of Rb2CrOsC (GGA-PBE).

```
Rb2CrOsC
1.0
6.666 0.000 0.000
0.000 6.666 0.000
0.000 0.000 4.534
Rb Cr Os C
2 1 1 1
Direct
0.000 0.500 0.000
0.500 0.000 0.000
0.000 0.000 0.000
0.000 0.000 0.500
0.500 0.500 0.500
```

Its density of states at the Fermi level is 2.385 states/eV per cell. As for the density: 3.5 Mg/m³. The value obtained for the calculated volume is 201.5 Å³/cell. As for the space group: P4/mmm. Its energy of formation from the pure elements is 2.30 eV per atom. Its total energy is -4.11 eV per atom.